1.
# SrIrRh2C | the Alexandria database | PBE-GGA | optimized geometry
data_SrIrRh2C
_cell_length_a 4.9314
_cell_length_b 4.9314
_cell_length_c 5.0677
_cell_angle_alpha 90.00
_cell_angle_beta 90.00
_cell_angle_gamma 90.00
_symmetry_space_group_name_H-M 'P 4/m m m'
_symmetry_Int_Tables_number 123
_symmetry_space_group_name_Hall '-P 4 2'
loop_
_atom_site_label
_atom_site_fract_x
_atom_site_fract_y
_atom_site_fract_z
Sr1 0.0000 0.0000 0.0000
Ir1 0.0000 0.0000 0.5000
Rh1 0.0000 0.5000 0.0000
C1 0.5000 0.5000 0.5000
# Total magnetization, μB per cell: 2.034
# N(E_F), states/eV per atom: 1.53
# DFT total energy, eV/atom: -3.4347
# Volume, Å³ per atom: 24.65
# Energy of formation, meV/atom: 3459

=====

2.
# Tb3Ho6Mg | the Alexandria database | PBE-GGA | optimized geometry
data_Tb3Ho6Mg
_cell_length_a 9.3154
_cell_length_b 14.7720
_cell_length_c 8.9865
_cell_angle_alpha 90.00
_cell_angle_beta 90.00
_cell_angle_gamma 90.00
_symmetry_space_group_name_H-M 'C m c 21'
_symmetry_Int_Tables_number 36
_symmetry_space_group_name_Hall 'C 2c -2'
loop_
_atom_site_label
_atom_site_fract_x
_atom_site_fract_y
_atom_site_fract_z
Tb1 0.0000 0.0356 0.0000
Tb2 0.1761 0.3560 0.5139
Ho1 0.0000 0.2046 0.7288
Ho2 0.0000 0.4364 0.8611
Ho3 0.1762 0.1532 0.3446
Ho4 0.2173 0.4310 0.1771
Mg1 0.0000 0.2623 0.0836
# Total magnetization, μB per cell: 0.000
# N(E_F), states/eV per atom: 1.20
# DFT total energy, eV/atom: -4.1661
# Volume, Å³ per atom: 30.92
# Polymorph energy (0 for the lowest one), meV/atom: 109
# Energy of formation, meV/atom: 129

=====

3.
# KNdPu2O8 | the Alexandria database | PBE-GGA | optimized geometry
data_KNdPu2O8
_cell_length_a 5.5482
_cell_length_b 5.5482
_cell_length_c 10.4550
_cell_angle_alpha 90.00
_cell_angle_beta 90.00
_cell_angle_gamma 90.00
_symmetry_space_group_name_H-M 'I -4 m 2'
_symmetry_Int_Tables_number 119
_symmetry_space_group_name_Hall 'I -4 -2'
loop_
_atom_site_label
_atom_site_fract_x
_atom_site_fract_y
_atom_site_fract_z
K1 0.0000 0.0000 0.0000
Nd1 0.0000 0.5000 0.7500
Pu1 0.0000 0.0000 0.5000
Pu2 0.0000 0.5000 0.2500
O1 0.2127 0.2396 0.3722
# Total magnetization, μB per cell: 8.000
# N(E_F), states/eV per atom: 0.77
# DFT total energy, eV/atom: -8.6391
# ΔE_f (raw), eV/f.u.: -29.47
# Volume, Å³ per atom: 13.41